Material: CsNaMoO4
Method: DFT, PBE with a Hubbard U
State: optimized geometry

Properties
**Raw total energy**: -84.0 eV per cell
**DOS(E_F)**: 0.000 states/eV/atom
**Space group**: I-4 (82)

a b c (Å): 6.356 6.356 9.057
angles (deg): 90.00 90.00 90.00
Element x y z (fractional)
Cs (0.000, 0.000, 0.000)
Cs (0.500, 0.500, 0.500)
Na (0.000, 0.000, 0.500)
Na (0.500, 0.500, 0.000)
Mo (0.000, 0.500, 0.750)
Mo (0.500, 0.000, 0.250)
O (0.101, 0.291, 0.636)
O (0.209, 0.601, 0.864)
O (0.291, 0.899, 0.364)
O (0.399, 0.209, 0.136)
O (0.601, 0.791, 0.136)
O (0.709, 0.101, 0.364)
O (0.791, 0.399, 0.864)
O (0.899, 0.709, 0.636)